This record from Alexandria via LeMat-Bulk describes Li15IrN6 after structural relaxation. The functional is PBE-GGA.

The mass density comes out at 2.32 g/cm³. Its density of states at the Fermi level is 2.99 states/eV/f.u. The calculation puts the uncorrected formation energy at -0.23 eV/atom.

The space group is Im-3m (No. 229) and the conventional cell measures 8.1607, 8.1607 and 8.1607 Å, with angles of 90.00, 90.00 and 90.00 degrees. Symmetry generates all atoms from Li at (0.0000, 0.0000, 0.5000), Li at (0.0000, 0.2329, 0.2329), Ir at (0.0000, 0.0000, 0.0000) and N at (0.0000, 0.0000, 0.2696).

This record from Alexandria via LeMat-Bulk describes HfZrPd6 after structural relaxation. The functional is PBE-GGA.

The mass density comes out at 11.59 g/cm³. The calculated formation energy comes out at -0.820 eV/atom. Its density of states at the Fermi level is 1.59 states/eV/f.u.

The space group is P4/mmm (No. 123) and the conventional cell measures 4.0223, 4.0223 and 8.0449 Å, with angles of 90.00, 90.00 and 90.00 degrees. Symmetry generates all atoms from Hf at (0.0000, 0.0000, 0.0000), Zr at (0.0000, 0.0000, 0.5000), Pd at (0.0000, 0.5000, 0.2481), Pd at (0.5000, 0.5000, 0.0000) and Pd at (0.5000, 0.5000, 0.5000).

This record from Alexandria via LeMat-Bulk describes Nb2GaS6 after structural relaxation. The functional is PBE-GGA.

The mass density comes out at 3.65 g/cm³. Its density of states at the Fermi level is 0.87 states/eV/f.u. The calculation puts the uncorrected formation energy at -0.75 eV/atom.

The space group is C2/m (No. 12) and the conventional cell measures 13.6339, 3.3220 and 10.5707 Å, with angles of 90.00, 121.53 and 90.00 degrees. Symmetry generates all atoms from Nb at (0.1812, 0.0000, 0.2918), Ga at (0.0000, 0.5000, 0.0000), S at (0.0224, 0.5000, 0.2348), S at (0.1720, 0.0000, 0.5354) and S at (0.2088, 0.5000, 0.1359).